Entry 1:
Computed, not measured: an optimized crystal structure of ZnCrIr2 at the PBEsol level of DFT.

```
ZnCrIr2
1.0
-1.1419 1.4950 -1.9025
-2.4958 0.9063 0.3289
1.8648 7.9163 3.2198
Zn Ir Cr
1 2 1
Direct
0.5014 0.5014 0.4957
0.7518 0.7518 0.7446
0.9951 0.9951 0.0146
0.2516 0.2516 0.2452
```

Summary:
Formation energy from the elements, eV/atom: 0.0126
DFT total energy, eV per atom: -7.8551

***

Entry 2:
Computed, not measured: an optimized crystal structure of Zn3CrIr at the PBEsol level of DFT.

```
Zn3CrIr
1.0
4.6808 0.0000 0.0000
0.0000 4.6808 0.0000
0.0000 0.0000 4.6808
Ir Zn Cr
1 3 1
Direct
0.0000 0.0000 0.0000
0.5000 0.0000 0.0000
0.0000 0.0000 0.5000
0.0000 0.5000 0.0000
0.5000 0.5000 0.5000
```

Summary:
Formation energy from the elements, eV/atom: 0.7163
DFT total energy, eV per atom: -4.2460